{"formula": "Ba6Ir2AuI3", "functional": "PBE-GGA", "state": "relaxed", "lattice": [[4.048, -7.008, 0.000], [4.048, 7.008, 0.000], [-2.694, 0.000, 8.592]], "species": ["Ba", "Ba", "Ba", "Ba", "Ba", "Ba", "Ir", "Ir", "Au", "I", "I", "I"], "frac_coords": [[0.073, 0.433, 0.799], [0.208, 0.208, 0.199], [0.433, 0.073, 0.799], [0.567, 0.927, 0.201], [0.792, 0.792, 0.801], [0.927, 0.567, 0.201], [0.167, 0.833, 0.000], [0.833, 0.167, 0.000], [0.500, 0.500, 0.000], [0.000, 0.000, 0.500], [0.339, 0.661, 0.500], [0.661, 0.339, 0.500]], "sg": "C2/m, No. 12", "raw_formation_energy_ev_per_atom": -0.872, "dft_energy_ev_per_atom": -3.97, "dos_at_fermi_per_ev_fu": 7.362, "density_g_cm3": 6.083}

***

{"formula": "V12Mo7W", "functional": "PBE-GGA", "state": "relaxed", "lattice": [[4.714, 2.721, 3.914], [-4.714, 2.721, 3.914], [0.000, -5.443, 3.914]], "species": ["V", "V", "V", "V", "V", "V", "V", "V", "V", "V", "V", "V", "Mo", "Mo", "Mo", "Mo", "Mo", "Mo", "Mo", "W"], "frac_coords": [[0.004, 0.355, 0.879], [0.121, 0.996, 0.645], [0.229, 0.630, 0.759], [0.241, 0.771, 0.370], [0.355, 0.879, 0.004], [0.370, 0.241, 0.771], [0.630, 0.759, 0.229], [0.645, 0.121, 0.996], [0.759, 0.229, 0.630], [0.771, 0.370, 0.241], [0.879, 0.004, 0.355], [0.996, 0.645, 0.121], [0.000, 0.000, 0.000], [0.118, 0.357, 0.446], [0.357, 0.446, 0.118], [0.446, 0.118, 0.357], [0.554, 0.882, 0.643], [0.643, 0.554, 0.882], [0.882, 0.643, 0.554], [0.500, 0.500, 0.500]], "sg": "R-3, No. 148", "dft_energy_ev_per_atom": -9.69, "dos_at_fermi_per_ev_fu": 24.176, "density_g_cm3": 8.085, "delta_e_f_mev_per_atom": 219}

***

{"formula": "Pm5Tm4", "functional": "PBE-GGA", "state": "relaxed", "lattice": [[-5.376, 5.376, 2.517], [5.376, -5.376, 2.517], [5.376, 5.376, -2.517]], "species": ["Pm", "Pm", "Pm", "Pm", "Pm", "Tm", "Tm", "Tm", "Tm"], "frac_coords": [[0.000, 0.000, 0.000], [0.000, 0.331, 0.331], [0.000, 0.669, 0.669], [0.331, 0.000, 0.331], [0.669, 0.000, 0.669], [0.333, 0.333, 0.667], [0.333, 0.667, 0.000], [0.667, 0.333, 0.000], [0.667, 0.667, 0.333]], "sg": "I4/mmm, No. 139", "dft_energy_ev_per_atom": -4.61, "dos_at_fermi_per_ev_fu": 12.760, "density_g_cm3": 7.994, "delta_e_f_mev_per_atom": 21}

***

{"formula": "NdErAl2Pd5", "functional": "PBE-GGA", "state": "relaxed", "lattice": [[4.260, 0.000, 0.000], [0.000, 4.260, 0.000], [0.000, 0.000, 9.258]], "species": ["Nd", "Er", "Al", "Al", "Pd", "Pd", "Pd", "Pd", "Pd"], "frac_coords": [[0.000, 0.000, 0.000], [0.000, 0.000, 0.500], [0.500, 0.500, 0.362], [0.500, 0.500, 0.638], [0.000, 0.500, 0.230], [0.000, 0.500, 0.770], [0.500, 0.000, 0.230], [0.500, 0.000, 0.770], [0.500, 0.500, 0.000]], "sg": "P4/mmm, No. 123", "dft_energy_ev_per_atom": -5.55, "dos_at_fermi_per_ev_fu": 5.842, "density_g_cm3": 8.871, "delta_e_f_mev_per_atom": -796}

***

{"formula": "NiAs2SeI", "functional": "PBE-GGA", "state": "relaxed", "lattice": [[5.376, 0.000, 0.000], [0.000, 5.376, 0.000], [0.000, 0.000, 5.307]], "species": ["Ni", "As", "As", "Se", "I"], "frac_coords": [[0.000, 0.000, 0.000], [0.000, 0.500, 0.500], [0.500, 0.000, 0.500], [0.500, 0.500, 0.000], [0.500, 0.500, 0.500]], "sg": "P4/mmm, No. 123", "raw_formation_energy_ev_per_atom": 1.628, "dft_energy_ev_per_atom": -2.39, "dos_at_fermi_per_ev_fu": 9.194, "density_g_cm3": 4.487, "e_above_lowest_polymorph_ev_per_atom": 1.176}

***

{"formula": "Tl2PbSe2", "functional": "PBE-GGA", "state": "relaxed", "lattice": [[-2.163, 2.163, 8.000], [2.163, -2.163, 8.000], [2.163, 2.163, -8.000]], "species": ["Tl", "Tl", "Pb", "Se", "Se"], "frac_coords": [[0.250, 0.750, 0.500], [0.750, 0.250, 0.500], [0.000, 0.000, 0.000], [0.408, 0.408, 0.000], [0.592, 0.592, 0.000]], "sg": "I4/mmm, No. 139", "raw_formation_energy_ev_per_atom": -0.124, "dft_energy_ev_per_atom": -3.21, "dos_at_fermi_per_ev_fu": 1.818, "density_g_cm3": 8.586, "e_above_lowest_polymorph_ev_per_atom": 0.259}

***

{"formula": "NiRuS", "functional": "PBE-GGA", "state": "relaxed", "lattice": [[3.541, 0.000, 0.000], [0.000, 5.281, 0.000], [0.000, 0.000, 4.280]], "species": ["Ni", "Ni", "Ru", "Ru", "S", "S"], "frac_coords": [[0.000, 0.093, 0.000], [0.500, 0.907, 0.500], [0.000, 0.554, 0.239], [0.500, 0.446, 0.739], [0.000, 0.744, 0.751], [0.500, 0.256, 0.251]], "sg": "Pmn2_1, No. 31", "raw_formation_energy_ev_per_atom": -0.148, "dft_energy_ev_per_atom": -6.54, "dos_at_fermi_per_ev_fu": 0.971, "density_g_cm3": 7.959, "e_above_lowest_polymorph_ev_per_atom": 0.000}

***

{"formula": "LaRhPb2", "functional": "PBE-GGA", "state": "relaxed", "lattice": [[0.000, 3.704, 3.704], [3.704, 0.000, 3.704], [3.704, 3.704, 0.000]], "species": ["La", "Rh", "Pb", "Pb"], "frac_coords": [[0.000, 0.000, 0.000], [0.250, 0.250, 0.250], [0.500, 0.500, 0.500], [0.750, 0.750, 0.750]], "sg": "F-43m, No. 216", "dft_energy_ev_per_atom": -5.16, "dos_at_fermi_per_ev_fu": 0.937, "density_g_cm3": 10.723, "delta_e_f_mev_per_atom": -240}